No. 1
DFT (PBE) results for Mg2NiOs after structural relaxation.

- theoretical density (g/cm3) = 8.12
- M_tot (μB/atom) = 0.00
- space group = Cm
- formation energy from the elements (eV per atom) = 0.0487
- distance to the lowest polymorph of the same formula (meV per atom) = 0
- Fermi-level density of states (states/eV per cell) = 4.951

Cell lengths 10.077, 2.737, 4.799 Å; angles 90.00, 113.20, 90.00 degrees
Atoms (fractional coordinates):
Mg (0.000, 0.000, 0.000)
Mg (0.212, 0.000, 0.610)
Mg (0.500, 0.500, 0.000)
Mg (0.712, 0.500, 0.610)
Ni (0.248, 0.500, 0.111)
Ni (0.748, 0.000, 0.111)
Os (0.452, 0.000, 0.470)
Os (0.952, 0.500, 0.470)


No. 2
DFT (PBE) results for CaTc2Ru after structural relaxation.

- theoretical density (g/cm3) = 8.40
- M_tot (μB/atom) = 0.00
- space group = R-3m
- formation energy from the elements (eV per atom) = 0.5627
- distance to the lowest polymorph of the same formula (meV per atom) = 201
- Fermi-level density of states (states/eV per cell) = 12.478

Cell lengths 2.849, 2.849, 28.443 Å; angles 90.00, 90.00, 120.00 degrees
Atoms (fractional coordinates):
Ca (0.000, 0.000, 0.000)
Ca (0.333, 0.667, 0.667)
Ca (0.667, 0.333, 0.333)
Tc (0.000, 0.000, 0.240)
Tc (0.000, 0.000, 0.760)
Tc (0.333, 0.667, 0.426)
Tc (0.333, 0.667, 0.907)
Tc (0.667, 0.333, 0.093)
Tc (0.667, 0.333, 0.574)
Ru (0.000, 0.000, 0.500)
Ru (0.333, 0.667, 0.167)
Ru (0.667, 0.333, 0.833)


No. 3
DFT (PBE) results for BaCd2Pb after structural relaxation.

- theoretical density (g/cm3) = 7.16
- M_tot (μB/atom) = 0.00
- space group = Pm
- formation energy from the elements (eV per atom) = -0.2129
- Fermi-level density of states (states/eV per cell) = 1.689

Cell lengths 3.976, 4.900, 7.058 Å; angles 90.00, 106.23, 90.00 degrees
Atoms (fractional coordinates):
Ba (0.000, 0.000, 0.000)
Cd (0.625, 0.500, 0.246)
Cd (0.723, 0.000, 0.473)
Pb (0.316, 0.500, 0.642)


No. 4
DFT (PBE) results for ErPa2H8 after structural relaxation.

- theoretical density (g/cm3) = 9.95
- M_tot (μB/atom) = 0.25
- DFT total energy (eV per cell) = -54.80
- space group = Immm
- Fermi-level density of states (states/eV per cell) = 8.239

Cell lengths 6.592, 6.592, 6.592 Å; angles 145.97, 138.05, 55.08 degrees
Atoms (fractional coordinates):
Er (0.000, 0.000, 0.000)
Pa (0.324, 0.324, 0.000)
Pa (0.676, 0.676, 0.000)
H (0.098, 0.846, 0.252)
H (0.196, 0.696, 0.500)
H (0.258, 0.500, 0.758)
H (0.405, 0.154, 0.252)
H (0.595, 0.846, 0.748)
H (0.742, 0.500, 0.242)
H (0.804, 0.304, 0.500)
H (0.902, 0.154, 0.748)


No. 5
DFT (PBE) results for CdTePbI2 after structural relaxation.

- theoretical density (g/cm3) = 5.07
- M_tot (μB/atom) = 0.00
- formation energy without anion corrections (eV per atom) = 0.10
- space group = P4/mmm
- distance to the lowest polymorph of the same formula (meV per atom) = 138
- Fermi-level density of states (states/eV per cell) = 5.877

Cell lengths 6.148, 6.148, 6.079 Å; angles 90.00, 90.00, 90.00 degrees
Atoms (fractional coordinates):
Cd (0.000, 0.000, 0.000)
Te (0.500, 0.500, 0.000)
Pb (0.500, 0.500, 0.500)
I (0.000, 0.500, 0.500)
I (0.500, 0.000, 0.500)


No. 6
DFT (PBE) results for NaMgIn3 after structural relaxation.

- theoretical density (g/cm3) = 3.93
- M_tot (μB/atom) = 0.00
- space group = Pm-3m
- formation energy from the elements (eV per atom) = 0.5019
- distance to the lowest polymorph of the same formula (meV per atom) = 572
- Fermi-level density of states (states/eV per cell) = 2.787

Cell lengths 5.490, 5.490, 5.490 Å; angles 90.00, 90.00, 90.00 degrees
Atoms (fractional coordinates):
Na (0.000, 0.000, 0.000)
Mg (0.500, 0.500, 0.500)
In (0.000, 0.000, 0.500)
In (0.000, 0.500, 0.000)
In (0.500, 0.000, 0.000)


No. 7
DFT (PBE) results for Y8GaIr2 after structural relaxation.

- theoretical density (g/cm3) = 6.35
- M_tot (μB/atom) = 0.00
- space group = Cm
- formation energy from the elements (eV per atom) = -0.4081
- Fermi-level density of states (states/eV per cell) = 11.866

Cell lengths 7.852, 7.852, 5.542 Å; angles 97.94, 97.94, 112.92 degrees
Atoms (fractional coordinates):
Y (0.000, 0.000, 0.000)
Y (0.050, 0.310, 0.616)
Y (0.144, 0.621, 0.198)
Y (0.310, 0.050, 0.616)
Y (0.451, 0.712, 0.792)
Y (0.621, 0.144, 0.198)
Y (0.712, 0.451, 0.792)
Y (0.754, 0.754, 0.391)
Ga (0.381, 0.381, 0.140)
Ir (0.070, 0.690, 0.697)
Ir (0.690, 0.070, 0.697)


No. 8
DFT (PBE) results for NbCdNi6 after structural relaxation.

- theoretical density (g/cm3) = 9.10
- M_tot (μB/atom) = 0.00
- space group = Cmmm
- formation energy from the elements (eV per atom) = -0.1121
- Fermi-level density of states (states/eV per cell) = 34.759

Cell lengths 6.415, 6.415, 10.489 Å; angles 90.00, 90.00, 109.43 degrees
Atoms (fractional coordinates):
Nb (0.000, 0.000, 0.247)
Nb (0.000, 0.000, 0.753)
Nb (0.247, 0.753, 0.500)
Nb (0.753, 0.247, 0.500)
Cd (0.252, 0.748, 0.000)
Cd (0.500, 0.500, 0.250)
Cd (0.500, 0.500, 0.750)
Cd (0.748, 0.252, 0.000)
Ni (0.000, 0.000, 0.000)
Ni (0.000, 0.000, 0.500)
Ni (0.120, 0.368, 0.130)
Ni (0.120, 0.368, 0.870)
Ni (0.120, 0.373, 0.378)
Ni (0.120, 0.373, 0.622)
Ni (0.246, 0.754, 0.256)
Ni (0.246, 0.754, 0.744)
Ni (0.368, 0.120, 0.130)
Ni (0.368, 0.120, 0.870)
Ni (0.373, 0.120, 0.378)
Ni (0.373, 0.120, 0.622)
Ni (0.500, 0.500, 0.000)
Ni (0.500, 0.500, 0.500)
Ni (0.627, 0.880, 0.378)
Ni (0.627, 0.880, 0.622)
Ni (0.632, 0.880, 0.130)
Ni (0.632, 0.880, 0.870)
Ni (0.754, 0.246, 0.256)
Ni (0.754, 0.246, 0.744)
Ni (0.880, 0.627, 0.378)
Ni (0.880, 0.627, 0.622)
Ni (0.880, 0.632, 0.130)
Ni (0.880, 0.632, 0.870)


No. 9
DFT (PBE) results for HgPbAu3 after structural relaxation.

- theoretical density (g/cm3) = 14.64
- M_tot (μB/atom) = 0.00
- space group = P2_1/m
- formation energy from the elements (eV per atom) = 0.0094
- distance to the lowest polymorph of the same formula (meV per atom) = 0
- Fermi-level density of states (states/eV per cell) = 2.299

Cell lengths 5.541, 6.807, 6.213 Å; angles 90.00, 104.81, 90.00 degrees
Atoms (fractional coordinates):
Hg (0.075, 0.250, 0.430)
Hg (0.925, 0.750, 0.570)
Pb (0.342, 0.750, 0.258)
Pb (0.658, 0.250, 0.742)
Au (0.189, 0.041, 0.878)
Au (0.189, 0.459, 0.878)
Au (0.497, 0.750, 0.749)
Au (0.503, 0.250, 0.251)
Au (0.811, 0.541, 0.122)
Au (0.811, 0.959, 0.122)


No. 10
DFT (PBE) results for ReAuSN2 after structural relaxation.

- theoretical density (g/cm3) = 9.59
- M_tot (μB/atom) = 0.00
- formation energy without anion corrections (eV per atom) = 0.59
- space group = P4/mmm
- distance to the lowest polymorph of the same formula (meV per atom) = 0
- Fermi-level density of states (states/eV per cell) = 3.323

Cell lengths 3.800, 3.800, 5.314 Å; angles 90.00, 90.00, 90.00 degrees
Atoms (fractional coordinates):
Re (0.000, 0.000, 0.000)
Au (0.500, 0.500, 0.500)
S (0.000, 0.000, 0.500)
N (0.000, 0.500, 0.000)
N (0.500, 0.000, 0.000)


No. 11
DFT (PBE) results for ZrScW after structural relaxation.

- theoretical density (g/cm3) = 8.96
- M_tot (μB/atom) = 0.00
- space group = P3m1
- formation energy from the elements (eV per atom) = 0.2029
- distance to the lowest polymorph of the same formula (meV per atom) = 0
- Fermi-level density of states (states/eV per cell) = 3.801

Cell lengths 4.833, 4.833, 2.932 Å; angles 90.00, 90.00, 120.00 degrees
Atoms (fractional coordinates):
Zr (0.000, 0.000, 0.000)
Sc (0.667, 0.333, 0.415)
W (0.333, 0.667, 0.764)


No. 12
DFT (PBE) results for CrCd2Co after structural relaxation.

- theoretical density (g/cm3) = 8.38
- M_tot (μB/atom) = 1.13
- space group = F-43m
- formation energy from the elements (eV per atom) = 0.4662
- distance to the lowest polymorph of the same formula (meV per atom) = 207
- Fermi-level density of states (states/eV per cell) = 10.201

Cell lengths 6.433, 6.433, 6.433 Å; angles 90.00, 90.00, 90.00 degrees
Atoms (fractional coordinates):
Cr (0.000, 0.000, 0.000)
Cr (0.000, 0.500, 0.500)
Cr (0.500, 0.000, 0.500)
Cr (0.500, 0.500, 0.000)
Cd (0.000, 0.000, 0.500)
Cd (0.000, 0.500, 0.000)
Cd (0.250, 0.250, 0.250)
Cd (0.250, 0.750, 0.750)
Cd (0.500, 0.000, 0.000)
Cd (0.500, 0.500, 0.500)
Cd (0.750, 0.250, 0.750)
Cd (0.750, 0.750, 0.250)
Co (0.250, 0.250, 0.750)
Co (0.250, 0.750, 0.250)
Co (0.750, 0.250, 0.250)
Co (0.750, 0.750, 0.750)


No. 13
DFT (PBE) results for UCd3O6F2 after structural relaxation.

- theoretical density (g/cm3) = 6.47
- M_tot (μB/atom) = 0.15
- formation energy without anion corrections (eV per atom) = -1.71
- space group = C2/m
- Fermi-level density of states (states/eV per cell) = 8.042

Cell lengths 6.695, 6.695, 4.742 Å; angles 91.84, 91.84, 59.06 degrees
Atoms (fractional coordinates):
U (0.000, 0.000, 0.000)
Cd (0.000, 0.500, 0.000)
Cd (0.500, 0.000, 0.000)
Cd (0.500, 0.500, 0.500)
O (0.159, 0.159, 0.218)
O (0.159, 0.700, 0.233)
O (0.300, 0.841, 0.767)
O (0.700, 0.159, 0.233)
O (0.841, 0.300, 0.767)
O (0.841, 0.841, 0.782)
F (0.332, 0.332, 0.743)
F (0.668, 0.668, 0.257)


No. 14
DFT (PBE) results for DyPd4Pb2 after structural relaxation.

- theoretical density (g/cm3) = 11.67
- M_tot (μB/atom) = 0.00
- space group = P1
- formation energy from the elements (eV per atom) = -0.4810
- Fermi-level density of states (states/eV per cell) = 4.830

Cell lengths 5.970, 7.379, 8.001 Å; angles 117.16, 111.12, 91.03 degrees
Atoms (fractional coordinates):
Dy (0.000, 0.000, 0.000)
Dy (0.287, 0.794, 0.580)
Pd (0.091, 0.639, 0.093)
Pd (0.168, 0.184, 0.794)
Pd (0.316, 0.353, 0.510)
Pd (0.529, 0.028, 0.027)
Pd (0.670, 0.186, 0.798)
Pd (0.795, 0.795, 0.555)
Pd (0.903, 0.415, 0.245)
Pd (0.952, 0.993, 0.351)
Pb (0.427, 0.426, 0.229)
Pb (0.488, 0.993, 0.359)
Pb (0.572, 0.603, 0.949)
Pb (0.922, 0.451, 0.645)


No. 15
DFT (PBE) results for Nd2CdNi2 after structural relaxation.

- theoretical density (g/cm3) = 7.72
- M_tot (μB/atom) = 0.00
- space group = Cmmm
- formation energy from the elements (eV per atom) = -0.3716
- Fermi-level density of states (states/eV per cell) = 9.627

Cell lengths 3.999, 14.421, 3.867 Å; angles 90.00, 90.00, 90.00 degrees
Atoms (fractional coordinates):
Nd (0.000, 0.137, 0.000)
Nd (0.000, 0.863, 0.000)
Nd (0.500, 0.363, 0.000)
Nd (0.500, 0.637, 0.000)
Cd (0.000, 0.500, 0.500)
Cd (0.500, 0.000, 0.500)
Ni (0.000, 0.298, 0.500)
Ni (0.000, 0.702, 0.500)
Ni (0.500, 0.202, 0.500)
Ni (0.500, 0.798, 0.500)


No. 16
DFT (PBE) results for BaLi2MgHg4 after structural relaxation.

- theoretical density (g/cm3) = 8.03
- M_tot (μB/atom) = 0.00
- space group = R-3m
- formation energy from the elements (eV per atom) = -0.3638
- Fermi-level density of states (states/eV per cell) = 4.469

Cell lengths 10.497, 10.497, 10.497 Å; angles 26.44, 26.44, 26.44 degrees
Atoms (fractional coordinates):
Ba (0.000, 0.000, 0.000)
Li (0.228, 0.228, 0.228)
Li (0.772, 0.772, 0.772)
Mg (0.500, 0.500, 0.500)
Hg (0.130, 0.130, 0.130)
Hg (0.403, 0.403, 0.403)
Hg (0.597, 0.597, 0.597)
Hg (0.870, 0.870, 0.870)


No. 17
DFT (PBE) results for Zn8NiAu2 after structural relaxation.

- theoretical density (g/cm3) = 9.27
- M_tot (μB/atom) = 0.00
- space group = C2/m
- formation energy from the elements (eV per atom) = -0.0671
- distance to the lowest polymorph of the same formula (meV per atom) = 80
- Fermi-level density of states (states/eV per cell) = 2.227

Cell lengths 7.124, 7.124, 4.413 Å; angles 100.56, 100.56, 122.40 degrees
Atoms (fractional coordinates):
Zn (0.098, 0.305, 0.644)
Zn (0.195, 0.805, 0.000)
Zn (0.305, 0.098, 0.644)
Zn (0.385, 0.385, 0.198)
Zn (0.615, 0.615, 0.802)
Zn (0.695, 0.902, 0.356)
Zn (0.805, 0.195, 0.000)
Zn (0.902, 0.695, 0.356)
Ni (0.000, 0.000, 0.000)
Au (0.305, 0.695, 0.500)
Au (0.695, 0.305, 0.500)


No. 18
DFT (PBE) results for Zn2Ni2Ir after structural relaxation.

- theoretical density (g/cm3) = 11.48
- M_tot (μB/atom) = 0.00
- space group = P4/mbm
- formation energy from the elements (eV per atom) = -0.0076
- distance to the lowest polymorph of the same formula (meV per atom) = 0
- Fermi-level density of states (states/eV per cell) = 9.109

Cell lengths 6.876, 6.876, 2.694 Å; angles 90.00, 90.00, 90.00 degrees
Atoms (fractional coordinates):
Zn (0.129, 0.371, 0.000)
Zn (0.371, 0.871, 0.000)
Zn (0.629, 0.129, 0.000)
Zn (0.871, 0.629, 0.000)
Ni (0.170, 0.670, 0.500)
Ni (0.330, 0.170, 0.500)
Ni (0.670, 0.830, 0.500)
Ni (0.830, 0.330, 0.500)
Ir (0.000, 0.000, 0.000)
Ir (0.500, 0.500, 0.000)


No. 19
DFT (PBE) results for La5Tb4Pr after structural relaxation.

- theoretical density (g/cm3) = 6.78
- M_tot (μB/atom) = 0.00
- space group = C2/m
- formation energy from the elements (eV per atom) = 0.1156
- distance to the lowest polymorph of the same formula (meV per atom) = 94
- Fermi-level density of states (states/eV per cell) = 13.767

Cell lengths 8.908, 8.908, 11.343 Å; angles 94.39, 94.39, 23.67 degrees
Atoms (fractional coordinates):
La (0.000, 0.000, 0.000)
La (0.142, 0.142, 0.265)
La (0.199, 0.199, 0.869)
La (0.801, 0.801, 0.131)
La (0.858, 0.858, 0.735)
Tb (0.324, 0.324, 0.440)
Tb (0.463, 0.463, 0.248)
Tb (0.537, 0.537, 0.752)
Tb (0.676, 0.676, 0.560)
Pr (0.000, 0.000, 0.500)


No. 20
DFT (PBE) results for Tl3Sn4Pb8 after structural relaxation.

- theoretical density (g/cm3) = 9.29
- M_tot (μB/atom) = 0.00
- space group = C2/m
- formation energy from the elements (eV per atom) = 0.1394
- Fermi-level density of states (states/eV per cell) = 8.755

Cell lengths 9.192, 9.192, 6.720 Å; angles 111.26, 111.26, 87.50 degrees
Atoms (fractional coordinates):
Tl (0.000, 0.000, 0.000)
Tl (0.000, 0.500, 0.000)
Tl (0.500, 0.000, 0.000)
Sn (0.000, 0.500, 0.500)
Sn (0.500, 0.000, 0.500)
Sn (0.500, 0.500, 0.000)
Sn (0.500, 0.500, 0.500)
Pb (0.250, 0.750, 0.500)
Pb (0.253, 0.253, 0.511)
Pb (0.256, 0.256, 0.008)
Pb (0.257, 0.743, 0.000)
Pb (0.743, 0.257, 0.000)
Pb (0.744, 0.744, 0.992)
Pb (0.747, 0.747, 0.489)
Pb (0.750, 0.250, 0.500)